Computed, not measured: crystalline Ho5ErRh4 at its relaxed geometry at the PBE level of DFT.

a b c (Å): 4.751 6.753 10.228
angles (deg): 131.48 103.43 90.00
Fractional coordinates of all 10 atoms:
1 Ho 0.834 0.667 0.668
2 Ho 0.166 0.333 0.332
3 Ho 0.834 0.167 0.667
4 Er 0.500 0.000 0.000
5 Rh 0.665 0.081 0.331
6 Rh 0.335 0.919 0.669
7 Rh 0.001 0.252 0.003
8 Ho 0.166 0.833 0.333
9 Ho 0.500 0.500 0.000
10 Rh 0.999 0.748 0.997

Calculated values
- Fermi-level density of states (states/eV/atom) = 0.78
- ΔE_f (eV/f.u.) = -7.401
- crystal system = monoclinic
- ρ (g cm⁻³) = 9.97


Computed, not measured: crystalline Ho5ErRh6 at its relaxed geometry at the PBE level of DFT.

a b c (Å): 4.805 6.846 7.605
angles (deg): 90.00 71.59 90.00
Fractional coordinates of all 12 atoms:
1 Rh 0.500 0.751 0.000
2 Rh 0.834 0.750 0.333
3 Rh 0.166 0.250 0.667
4 Rh 0.500 0.249 0.000
5 Ho 0.333 0.500 0.333
6 Ho 0.334 0.000 0.333
7 Rh 0.834 0.250 0.333
8 Ho 0.667 0.500 0.667
9 Ho 0.000 0.500 0.000
10 Er 0.000 0.000 0.000
11 Rh 0.166 0.750 0.667
12 Ho 0.666 0.000 0.667

Calculated values
- Fermi-level density of states (states/eV/atom) = 0.56
- ΔE_f (eV/f.u.) = -10.943
- crystal system = orthorhombic
- ρ (g cm⁻³) = 11.26


Computed, not measured: crystalline HoErRh at its relaxed geometry at the PBE level of DFT.

a b c (Å): 6.651 6.394 7.161
angles (deg): 90.00 90.00 95.59
Fractional coordinates of all 12 atoms:
1 Ho 0.275 0.600 0.387
2 Ho 0.775 0.600 0.113
3 Ho 0.725 0.400 0.613
4 Rh 0.796 0.208 0.953
5 Ho 0.225 0.400 0.887
6 Rh 0.296 0.208 0.547
7 Rh 0.204 0.792 0.047
8 Er 0.004 0.075 0.262
9 Rh 0.704 0.792 0.453
10 Er 0.504 0.075 0.238
11 Er 0.496 0.925 0.762
12 Er 0.996 0.925 0.738

Calculated values
- Fermi-level density of states (states/eV/atom) = 0.73
- ΔE_f (eV/f.u.) = -2.052
- crystal system = monoclinic
- ρ (g cm⁻³) = 9.54


Computed, not measured: crystalline HoEr3Rh4 at its relaxed geometry at the PBE level of DFT.

a b c (Å): 4.838 6.701 9.675
angles (deg): 90.00 90.00 90.00
Fractional coordinates of all 16 atoms:
1 Rh 0.000 0.249 0.750
2 Rh 0.500 0.249 0.000
3 Er 0.500 0.000 0.250
4 Rh 0.500 0.751 0.500
5 Ho 0.000 0.500 0.000
6 Rh 0.000 0.751 0.750
7 Rh 0.500 0.751 0.000
8 Ho 0.000 0.500 0.500
9 Er 0.500 0.000 0.750
10 Rh 0.500 0.249 0.500
11 Er 0.500 0.500 0.250
12 Er 0.000 0.000 0.000
13 Rh 0.000 0.751 0.250
14 Rh 0.000 0.249 0.250
15 Er 0.000 0.000 0.500
16 Er 0.500 0.500 0.750

Calculated values
- Fermi-level density of states (states/eV/atom) = 0.49
- ΔE_f (eV/f.u.) = -7.427
- crystal system = tetragonal
- ρ (g cm⁻³) = 11.42


Computed, not measured: crystalline Ho3ErRh at its relaxed geometry at the PBE level of DFT.

a b c (Å): 3.738 6.233 12.425
angles (deg): 86.87 81.35 72.55
Fractional coordinates of all 10 atoms:
1 Ho 0.445 0.957 0.153
2 Rh 0.430 0.356 0.784
3 Ho 0.782 0.045 0.392
4 Ho 0.990 0.111 0.909
5 Ho 0.767 0.710 0.755
6 Er 0.222 0.556 0.999
7 Rh 0.781 0.312 0.125
8 Ho 0.431 0.623 0.515
9 Er 0.114 0.493 0.279
10 Ho 0.098 0.174 0.629

Calculated values
- Fermi-level density of states (states/eV/atom) = 1.16
- ΔE_f (eV/f.u.) = -2.020
- crystal system = monoclinic
- ρ (g cm⁻³) = 9.31


Computed, not measured: crystalline HoEr2Rh3 at its relaxed geometry at the PBE level of DFT.

a b c (Å): 4.811 4.811 11.751
angles (deg): 90.00 90.00 120.00
Fractional coordinates of all 12 atoms:
1 Rh 0.000 0.000 0.750
2 Er 0.000 0.000 0.000
3 Rh 0.667 0.333 0.583
4 Rh 0.667 0.333 0.083
5 Rh 0.000 0.000 0.250
6 Er 0.333 0.667 0.166
7 Ho 0.667 0.333 0.333
8 Er 0.667 0.333 0.834
9 Ho 0.333 0.667 0.667
10 Rh 0.333 0.667 0.917
11 Rh 0.333 0.667 0.417
12 Er 0.000 0.000 0.500

Calculated values
- Fermi-level density of states (states/eV/atom) = 0.63
- ΔE_f (eV/f.u.) = -5.568
- crystal system = trigonal
- ρ (g cm⁻³) = 11.39


Computed, not measured: crystalline HoEr3Rh2 at its relaxed geometry at the PBE level of DFT.

a b c (Å): 4.619 7.138 8.660
angles (deg): 90.00 90.00 90.00
Fractional coordinates of all 12 atoms:
1 Ho 0.500 0.012 0.415
2 Rh 0.500 0.743 0.842
3 Er 0.500 0.641 0.169
4 Ho 0.500 0.512 0.585
5 Er 0.000 0.859 0.670
6 Rh 0.000 0.757 0.341
7 Er 0.000 0.488 0.915
8 Er 0.500 0.141 0.831
9 Er 0.000 0.988 0.085
10 Rh 0.500 0.243 0.158
11 Rh 0.000 0.257 0.659
12 Er 0.000 0.359 0.330

Calculated values
- Fermi-level density of states (states/eV/atom) = 0.98
- ΔE_f (eV/f.u.) = -4.136
- crystal system = orthorhombic
- ρ (g cm⁻³) = 10.15


Computed, not measured: crystalline Ho3ErRh at its relaxed geometry at the PBE level of DFT.

a b c (Å): 5.370 5.370 5.370
angles (deg): 90.00 90.00 90.00
Fractional coordinates of all 5 atoms:
1 Ho 0.500 0.000 0.000
2 Er 0.500 0.500 0.500
3 Ho 0.000 0.000 0.500
4 Rh 0.000 0.000 0.000
5 Ho 0.000 0.500 0.000

Calculated values
- Fermi-level density of states (states/eV/atom) = 1.52
- ΔE_f (eV/f.u.) = -1.072
- crystal system = cubic
- ρ (g cm⁻³) = 8.20


Computed, not measured: crystalline Ho2ErRh at its relaxed geometry at the PBE level of DFT.

a b c (Å): 3.706 3.706 9.647
angles (deg): 78.92 78.92 60.00
Each line ends with the local moment (μB).
Fractional coordinates of all 4 atoms:
1 Ho 0.273 0.273 0.182  0.07
2 Er 0.500 0.500 0.500  0.26
3 Rh 0.000 0.000 0.000  0.02
4 Ho 0.727 0.727 0.818  0.07

Calculated values
- Fermi-level density of states (states/eV/atom) = 1.29
- ΔE_f (eV/f.u.) = -1.254
- crystal system = trigonal
- ρ (g cm⁻³) = 8.90


Computed, not measured: crystalline HoEr3Rh at its relaxed geometry at the PBE level of DFT.

a b c (Å): 5.351 5.351 5.351
angles (deg): 90.00 90.00 90.00
Fractional coordinates of all 5 atoms:
1 Er 0.000 0.000 0.500
2 Rh 0.000 0.000 0.000
3 Ho 0.500 0.500 0.500
4 Er 0.000 0.500 0.000
5 Er 0.500 0.000 0.000

Calculated values
- Fermi-level density of states (states/eV/atom) = 1.51
- ΔE_f (eV/f.u.) = -1.169
- crystal system = cubic
- ρ (g cm⁻³) = 8.34


Computed, not measured: crystalline HoErRh at its relaxed geometry at the PBE level of DFT.

a b c (Å): 3.426 3.426 6.710
angles (deg): 104.79 104.79 90.00
Fractional coordinates of all 3 atoms:
1 Rh 0.666 0.666 0.332
2 Er 0.036 0.036 0.071
3 Ho 0.298 0.298 0.597

Calculated values
- Fermi-level density of states (states/eV/atom) = 1.10
- ΔE_f (eV/f.u.) = -1.761
- crystal system = tetragonal
- ρ (g cm⁻³) = 9.84


Computed, not measured: crystalline Ho2ErRh at its relaxed geometry at the PBE level of DFT.

a b c (Å): 3.486 3.486 8.493
angles (deg): 90.00 90.00 90.00
Fractional coordinates of all 4 atoms:
1 Rh 0.500 0.500 0.000
2 Ho 0.000 0.000 0.809
3 Er 0.500 0.500 0.500
4 Ho 0.000 0.000 0.191

Calculated values
- Fermi-level density of states (states/eV/atom) = 1.37
- ΔE_f (eV/f.u.) = -1.640
- crystal system = tetragonal
- ρ (g cm⁻³) = 9.66


Computed, not measured: crystalline HoEr4Rh2 at its relaxed geometry at the PBE level of DFT.

a b c (Å): 6.296 7.814 7.772
angles (deg): 112.58 90.00 90.00
Fractional coordinates of all 14 atoms:
1 Er 0.498 0.588 0.238
2 Rh 0.250 0.626 0.589
3 Er 0.502 0.412 0.762
4 Er 0.250 0.983 0.617
5 Rh 0.750 0.744 0.012
6 Er 0.250 0.248 0.335
7 Ho 0.250 0.840 0.974
8 Er 0.750 0.017 0.383
9 Er 0.002 0.588 0.238
10 Rh 0.250 0.256 0.988
11 Ho 0.750 0.160 0.026
12 Rh 0.750 0.374 0.411
13 Er 0.750 0.752 0.665
14 Er 0.998 0.412 0.762

Calculated values
- Fermi-level density of states (states/eV/atom) = 1.08
- ΔE_f (eV/f.u.) = -3.575
- crystal system = monoclinic
- ρ (g cm⁻³) = 9.78


Computed, not measured: crystalline Ho4Er3Rh4 at its relaxed geometry at the PBE level of DFT.

a b c (Å): 3.642 8.890 9.269
angles (deg): 118.65 101.33 90.00
Fractional coordinates of all 11 atoms:
1 Er 0.898 0.898 0.796
2 Er 0.000 0.500 0.000
3 Rh 0.500 0.786 0.000
4 Ho 0.665 0.851 0.329
5 Ho 0.335 0.522 0.671
6 Rh 0.747 0.247 0.494
7 Er 0.102 0.102 0.204
8 Rh 0.500 0.214 0.000
9 Rh 0.253 0.753 0.506
10 Ho 0.335 0.149 0.671
11 Ho 0.665 0.478 0.329

Calculated values
- Fermi-level density of states (states/eV/atom) = 0.64
- ΔE_f (eV/f.u.) = -7.310
- crystal system = orthorhombic
- ρ (g cm⁻³) = 10.18


Computed, not measured: crystalline HoEr5Rh4 at its relaxed geometry at the PBE level of DFT.

a b c (Å): 4.752 6.728 10.188
angles (deg): 131.49 103.49 90.00
Fractional coordinates of all 10 atoms:
1 Er 0.833 0.668 0.667
2 Rh 0.001 0.253 0.002
3 Er 0.166 0.832 0.333
4 Er 0.834 0.168 0.667
5 Er 0.500 0.500 0.000
6 Ho 0.500 0.000 0.000
7 Rh 0.666 0.081 0.332
8 Rh 0.334 0.919 0.668
9 Er 0.167 0.332 0.333
10 Rh 0.999 0.747 0.998

Calculated values
- Fermi-level density of states (states/eV/atom) = 0.78
- ΔE_f (eV/f.u.) = -7.528
- crystal system = monoclinic
- ρ (g cm⁻³) = 10.12


Computed, not measured: crystalline Ho6ErRh2 at its relaxed geometry at the PBE level of DFT.

a b c (Å): 3.722 8.131 8.476
angles (deg): 80.70 77.32 76.77
Fractional coordinates of all 9 atoms:
1 Ho 0.273 0.337 0.117
2 Ho 0.694 0.166 0.447
3 Er 0.000 0.500 0.500
4 Ho 0.306 0.834 0.553
5 Ho 0.727 0.663 0.883
6 Ho 0.020 0.150 0.811
7 Ho 0.980 0.850 0.189
8 Rh 0.597 0.574 0.232
9 Rh 0.403 0.426 0.768

Calculated values
- Fermi-level density of states (states/eV/atom) = 0.97
- ΔE_f (eV/f.u.) = -3.806
- crystal system = monoclinic
- ρ (g cm⁻³) = 9.35


Computed, not measured: crystalline HoErRh4 at its relaxed geometry at the PBE level of DFT.

a b c (Å): 5.320 5.320 5.320
angles (deg): 60.00 60.00 60.00
Fractional coordinates of all 6 atoms:
1 Rh 0.625 0.625 0.125
2 Rh 0.625 0.125 0.625
3 Rh 0.125 0.625 0.625
4 Rh 0.625 0.625 0.625
5 Er 0.000 0.000 0.000
6 Ho 0.250 0.250 0.250

Calculated values
- Fermi-level density of states (states/eV/atom) = 0.70
- ΔE_f (eV/f.u.) = -4.534
- crystal system = cubic
- ρ (g cm⁻³) = 11.60


Computed, not measured: crystalline Ho2ErRh at its relaxed geometry at the PBE level of DFT.

a b c (Å): 3.798 6.195 9.318
angles (deg): 90.00 90.00 107.85
Fractional coordinates of all 8 atoms:
1 Ho 0.138 0.277 0.433
2 Rh 0.255 0.509 0.750
3 Er 0.576 0.151 0.750
4 Er 0.424 0.849 0.250
5 Ho 0.138 0.277 0.067
6 Rh 0.745 0.491 0.250
7 Ho 0.862 0.723 0.933
8 Ho 0.862 0.723 0.567

Calculated values
- Fermi-level density of states (states/eV/atom) = 1.15
- ΔE_f (eV/f.u.) = -2.055
- crystal system = orthorhombic
- ρ (g cm⁻³) = 9.55


Computed, not measured: crystalline HoEr2Rh4 at its relaxed geometry at the PBE level of DFT.

a b c (Å): 4.784 4.784 7.055
angles (deg): 109.82 109.82 90.00
Fractional coordinates of all 7 atoms:
1 Ho 0.000 0.000 0.000
2 Rh 0.122 0.622 0.244
3 Rh 0.378 0.878 0.756
4 Er 0.726 0.726 0.453
5 Rh 0.622 0.122 0.244
6 Er 0.274 0.274 0.547
7 Rh 0.878 0.378 0.756

Calculated values
- Fermi-level density of states (states/eV/atom) = 0.41
- ΔE_f (eV/f.u.) = -4.063
- crystal system = tetragonal
- ρ (g cm⁻³) = 10.68


Computed, not measured: crystalline Ho3Er3Rh2 at its relaxed geometry at the PBE level of DFT.

a b c (Å): 3.766 6.781 17.862
angles (deg): 90.00 90.00 106.12
Fractional coordinates of all 16 atoms:
1 Er 0.327 0.655 0.940
2 Ho 0.941 0.882 0.411
3 Ho 0.729 0.457 0.250
4 Rh 0.701 0.402 0.637
5 Rh 0.299 0.598 0.363
6 Er 0.673 0.345 0.440
7 Ho 0.271 0.543 0.750
8 Ho 0.941 0.882 0.089
9 Ho 0.059 0.118 0.589
10 Ho 0.059 0.118 0.911
11 Er 0.455 0.909 0.250
12 Rh 0.701 0.402 0.863
13 Er 0.673 0.345 0.060
14 Er 0.545 0.091 0.750
15 Rh 0.299 0.598 0.137
16 Er 0.327 0.655 0.560

Calculated values
- Fermi-level density of states (states/eV/atom) = 0.98
- ΔE_f (eV/f.u.) = -3.447
- crystal system = orthorhombic
- ρ (g cm⁻³) = 9.11